1.
Computed, not measured: a relaxed ZnSe3Cl crystal at the GGA-PBE level of DFT.

The raw formation energy is 4.4 eV/f.u. The total magnetization comes out at 0.0 μB/cell.

The structure belongs to space group Pm-3m (No. 221); the cell edges are 5.000, 5.000 and 5.000 Å and the angles 90.00°, 90.00° and 90.00°. Symmetry generates all atoms from Zn at (0.000, 0.000, 0.000), Se at (0.000, 0.500, 0.500) and Cl at (0.500, 0.500, 0.500).



2.
Computed, not measured: a relaxed Zn2SeCl crystal at the GGA-PBE level of DFT.

The raw formation energy is -0.2 eV/f.u. The total magnetization comes out at 0.0 μB/cell. The value obtained for the excess energy over the best structure of this formula in the dataset is 2.46 eV/f.u.

The structure belongs to space group P4mm (No. 99); the cell edges are 3.013, 3.013 and 9.309 Å and the angles 90.00°, 90.00° and 90.00°. Symmetry generates all atoms from Zn at (0.000, 0.000, 0.000), Zn at (0.500, 0.500, 0.206), Se at (0.500, 0.500, 0.772) and Cl at (0.000, 0.000, 0.367).



3.
Computed, not measured: a relaxed Zn2SeCl crystal at the GGA-PBE level of DFT.

The raw formation energy is -0.7 eV/f.u. The total magnetization comes out at 0.0 μB/cell. The value obtained for the excess energy over the best structure of this formula in the dataset is 1.92 eV/f.u.

The structure belongs to space group Imm2 (No. 44); the cell edges are 2.990, 6.841 and 9.273 Å and the angles 90.00°, 90.00° and 90.00°. Symmetry generates all atoms from Zn at (0.000, 0.000, 0.000), Zn at (0.000, 0.500, 0.268), Se at (0.000, 0.500, 0.723) and Cl at (0.000, 0.000, 0.573).



4.
Computed, not measured: a relaxed ZnSeCl2 crystal at the GGA-PBE level of DFT.

The raw formation energy is -1.8 eV/f.u. The total magnetization comes out at 0.0 μB/cell. The value obtained for the excess energy over the best structure of this formula in the dataset is 0.41 eV/f.u.

The structure belongs to space group Imm2 (No. 44); the cell edges are 3.440, 5.049 and 13.853 Å and the angles 90.00°, 90.00° and 90.00°. Symmetry generates all atoms from Zn at (0.000, 0.000, 0.000), Se at (0.000, 0.500, 0.364), Cl at (0.000, 0.000, 0.392) and Cl at (0.000, 0.500, 0.615).



5.
Computed, not measured: a relaxed Zn2SeCl crystal at the GGA-PBE level of DFT.

The raw formation energy is -1.7 eV/f.u. The total magnetization comes out at 0.0 μB/cell. The value obtained for the excess energy over the best structure of this formula in the dataset is 1.00 eV/f.u.

The structure belongs to space group P4/mmm (No. 123); the cell edges are 3.858, 3.858 and 5.366 Å and the angles 90.00°, 90.00° and 90.00°. Symmetry generates all atoms from Zn at (0.000, 0.000, 0.000), Zn at (0.500, 0.500, 0.500), Se at (0.000, 0.000, 0.500) and Cl at (0.500, 0.500, 0.000).



6.
Computed, not measured: a relaxed ZrSeCl crystal at the GGA-PBE level of DFT.

The raw formation energy is -4.4 eV/f.u. The total magnetization comes out at 0.0 μB/cell.

The structure belongs to space group P2_1/m (No. 11); the cell edges are 6.566, 3.660 and 6.967 Å and the angles 90.00°, 90.68° and 90.00°. Symmetry generates all atoms from Zr at (0.212, 0.250, 0.007), Se at (0.087, 0.750, 0.254) and Cl at (0.418, 0.750, 0.801).



7.
Computed, not measured: a relaxed ZrSeCl3 crystal at the GGA-PBE level of DFT.

The raw formation energy is -6.8 eV/f.u. The total magnetization comes out at 0.0 μB/cell.

The structure belongs to space group P1 (No. 1); the cell edges are 6.617, 6.710 and 7.601 Å and the angles 88.54°, 89.96° and 72.05°. Symmetry generates all atoms from Zr at (0.000, 0.000, 0.000), Zr at (0.353, 0.414, 0.937), Se at (0.128, 0.739, 0.748), Se at (0.718, 0.358, 0.145), Cl at (0.097, 0.256, 0.775), Cl at (0.184, 0.649, 0.187), Cl at (0.285, 0.120, 0.154), Cl at (0.622, 0.620, 0.914), Cl at (0.645, 0.110, 0.796) and Cl at (0.800, 0.015, 0.294).



8.
Computed, not measured: a relaxed ZrSe2Cl crystal at the GGA-PBE level of DFT.

The raw formation energy is -2.9 eV/f.u. The total magnetization comes out at 0.0 μB/cell. The value obtained for the excess energy over the best structure of this formula in the dataset is 1.43 eV/f.u.

The structure belongs to space group R3m (No. 160, hexagonal axes); the cell edges are 3.4635, 3.4635 and 28.6589 Å and the angles 90.00°, 90.00° and 120.00°. Symmetry generates all atoms from Zr at (0.0000, 0.0000, 0.0000), Se at (0.0000, 0.0000, 0.2729), Se at (0.0000, 0.0000, 0.5127) and Cl at (0.0000, 0.0000, 0.7268).



9.
Computed, not measured: a relaxed ZrSeCl2 crystal at the GGA-PBE level of DFT.

The raw formation energy is -5.7 eV/f.u. The total magnetization comes out at 0.0 μB/cell. The value obtained for the excess energy over the best structure of this formula in the dataset is 0.23 eV/f.u.

The structure belongs to space group Cmmm (No. 65); the cell edges are 5.149, 13.250 and 3.815 Å and the angles 90.00°, 90.00° and 90.00°. Symmetry generates all atoms from Zr at (0.000, 0.000, 0.000), Se at (0.000, 0.500, 0.000) and Cl at (0.000, 0.132, 0.500).



10.
Computed, not measured: a relaxed Zr3Se2Cl4 crystal at the GGA-PBE level of DFT.

The raw formation energy is -13.2 eV/f.u. The total magnetization comes out at 0.0 μB/cell.

The structure belongs to space group P-6m2 (No. 187); the cell edges are 3.5365, 3.5365 and 27.0236 Å and the angles 90.00°, 90.00° and 120.00°. Symmetry generates all atoms from Zr at (0.0000, 0.0000, 0.0000), Zr at (0.3333, 0.6667, 0.2625), Se at (0.3333, 0.6667, 0.0646), Cl at (0.0000, 0.0000, 0.2010) and Cl at (0.0000, 0.0000, 0.3246).



11.
Computed, not measured: a relaxed ZrSeCl crystal at the GGA-PBE level of DFT.

The raw formation energy is -1.1 eV/f.u. The total magnetization comes out at 4.0 μB/cell.

The structure belongs to space group F-43m (No. 216); the cell edges are 6.604, 6.604 and 6.604 Å and the angles 90.00°, 90.00° and 90.00°. Symmetry generates all atoms from Zr at (0.000, 0.000, 0.000), Se at (0.250, 0.250, 0.750) and Cl at (0.000, 0.000, 0.500).



12.
Computed, not measured: a relaxed Zr2SeCl4 crystal at the GGA-PBE level of DFT.

The raw formation energy is -1.3 eV/f.u. The total magnetization comes out at 0.0 μB/cell.

The structure belongs to space group I4/mmm (No. 139); the cell edges are 5.469, 5.469 and 14.626 Å and the angles 90.00°, 90.00° and 90.00°. Symmetry generates all atoms from Zr at (0.000, 0.000, 0.080), Se at (0.000, 0.000, 0.500), Cl at (0.000, 0.000, 0.243) and Cl at (0.000, 0.500, 0.000).



Among the records above, which one has the lowest raw formation energy? Zr3Se2Cl4